# 1
This record from Alexandria describes a relaxed GaCoSb2I crystal. The functional is PBEsol.

a b c (Å): 4.795 4.795 5.633
angles (deg): 90.00 90.00 90.00
Positions (direct):
Sb  0.500  0.000  0.000
Sb  0.000  0.500  0.000
I  0.000  0.000  0.500
Co  0.000  0.000  0.000
Ga  0.500  0.500  0.500

Results
Energy ... -20.293 eV/cell
E_form (uncorrected) ... 0.333 eV/atom
Density ... 6.399 g/cm3
Space-group type ... P4/mmm (123)
Crystal system ... tetragonal



# 2
This record from Alexandria describes a relaxed In2GaCoTe crystal. The functional is PBEsol.

a b c (Å): 4.545 5.757 5.757
angles (deg): 90.00 90.00 90.00
Site moments in Bohr magnetons follow the coordinates.
Positions (direct):
Co  0.500  0.000  0.000  1.04
Ga  0.500  0.500  0.500  -0.01
In  0.000  0.500  0.000  0.00
In  0.000  0.000  0.500  0.00
Te  0.000  0.000  0.000  0.01

Results
Energy ... -16.345 eV/cell
E_form (uncorrected) ... 0.845 eV/atom
Density ... 5.357 g/cm3
Space-group type ... P4/mmm (123)
Crystal system ... tetragonal



# 3
This record from Alexandria describes a relaxed Ga2CoIr crystal. The functional is PBEsol.

a b c (Å): 4.165 4.165 4.165
angles (deg): 60.00 60.00 60.00
Site moments in Bohr magnetons follow the coordinates.
Positions (direct):
Ga  0.250  0.250  0.250  -0.01
Ga  0.750  0.750  0.750  -0.01
Ir  0.500  0.500  0.500  0.01
Co  0.000  0.000  0.000  0.15

Results
Energy ... -25.710 eV/cell
Density ... 12.698 g/cm3
Space-group type ... Fm-3m (225)
Crystal system ... cubic